Record 1
The following is a PBE calculation of a geometry-optimized Li2CaMg6 structure, from Alexandria via LeMat-Bulk.

Values from the calculation:
* E above lowest polymorph: 0.181 eV per atom
* DFT total energy: -13.77 eV/cell
* ΔH_f (0 K): 0.18 eV/atom

abc: 5.248 5.248 10.962
angles: 90.00 90.00 120.00
Sites, in units of the cell vectors:
Li 0.333 0.667 0.500
Li 0.667 0.333 0.500
Mg 0.000 0.666 0.269
Mg 0.666 0.000 0.269
Mg 0.334 0.000 0.731
Mg 0.666 0.666 0.731
Mg 0.000 0.334 0.731
Mg 0.334 0.334 0.269
Ca 0.000 0.000 0.000

Record 2
The following is a PBE calculation of a geometry-optimized Dy2PaP3 structure, from Alexandria via LeMat-Bulk.

Values from the calculation:
* DFT total energy: -44.04 eV/cell
* ΔH_f (0 K): -1.52 eV/atom

abc: 3.994 5.627 6.902
angles: 114.05 106.83 90.00
Sites, in units of the cell vectors:
Dy 0.832 0.332 0.664
Dy 0.168 0.668 0.336
P 0.500 0.500 0.000
P 0.837 0.837 0.675
P 0.163 0.163 0.325
Pa 0.500 0.000 0.000